# 1
DFT (PBE) results for an optimized crystal structure of CuH2N.

Geometry as POSCAR:
```
CuH2N
1.0
-1.784 1.784 3.997
1.784 -1.784 3.997
1.784 1.784 -3.997
Cu H N
2 4 2
direct
0.375 0.625 0.750 Cu
0.625 0.375 0.250 Cu
0.000 0.000 0.000 H
0.000 0.000 0.500 H
0.000 0.500 0.000 H
0.500 0.000 0.500 H
0.125 0.875 0.250 N
0.875 0.125 0.750 N
```

Calculated values
As for the energy above the most stable polymorph in this dataset: 0.0 meV/atom.

=====

# 2
DFT (PBE) results for an optimized crystal structure of CuHN2.

Geometry as POSCAR:
```
CuHN2
1.0
1.504 0.868 4.342
-1.504 0.868 4.342
0.000 -1.737 4.342
Cu H N
1 1 2
direct
0.000 0.000 0.000 Cu
0.500 0.500 0.500 H
0.404 0.404 0.404 N
0.596 0.596 0.596 N
```

Calculated values
As for the energy above the most stable polymorph in this dataset: 0.0 meV/atom.

=====

What is the energy above the most stable polymorph in this dataset in the first record?
0.0 meV/atom

=====

What is the energy above the most stable polymorph in this dataset in the first record?
0.0 meV/atom

=====

Which value of energy above the most stable polymorph in this dataset does entry 1 give?
0.0 meV/atom

=====

Number 2 is which compound?
CuHN2